[1]
Entry from OQMD: a geometry-optimized GdY2Hg structure (PBE-GGA).

Structure (POSCAR):
```
GdY2Hg
1.0
5.426 0.000 0.000
0.000 3.659 5.771
0.000 -3.659 5.771
Gd Y Hg
2 4 2
Cartesian
0.000 0.000 0.000
2.713 0.000 3.564
0.000 0.000 5.774
2.713 -1.862 6.568
2.713 0.000 9.354
2.713 1.862 6.568
0.000 -1.802 8.549
0.000 1.802 8.549
```

## Properties
Distance to the lowest polymorph of the same formula: 0.095 eV per atom
Space-group type: Amm2, No. 38
ΔH_f (0 K): -0.11 eV/atom
V: 229.2 Å³/cell
M_tot: 0.02 μB/f.u.

***

[2]
Entry from OQMD: a geometry-optimized ZnFeGeS3 structure (PBE-GGA).

Structure (POSCAR):
```
ZnFeGeS3
1.0
1.729 -7.087 0.000
1.729 7.087 0.000
0.000 0.000 8.645
Zn Fe Ge S
2 2 2 6
Cartesian
1.729 4.349 6.484
1.729 -4.349 2.161
1.729 0.000 0.000
1.729 0.000 4.323
1.729 4.750 2.161
1.729 -4.750 6.484
1.729 5.594 4.556
1.729 5.594 8.412
1.729 0.629 6.484
1.729 -0.629 2.161
1.729 -5.594 0.233
1.729 -5.594 4.089
```

## Properties
Distance to the lowest polymorph of the same formula: 0.000 eV per atom
Space-group type: Cmcm, No. 63
V: 211.9 Å³/cell
M_tot: 0.41 μB/f.u.

***

[3]
Entry from OQMD: a geometry-optimized LuMgBi2 structure (PBE-GGA).

Structure (POSCAR):
```
LuMgBi2
1.0
0.000 3.844 3.844
3.844 0.000 3.844
3.844 3.844 0.000
Lu Mg Bi
1 1 2
Cartesian
0.000 0.000 0.000
5.766 5.766 5.766
1.922 1.922 1.922
3.844 3.844 3.844
```

## Properties
Space-group type: F-43m, No. 216
V: 113.6 Å³/cell
M_tot: 0.01 μB/f.u.

***

[4]
Entry from OQMD: a geometry-optimized CsKFe structure (PBE-GGA).

Structure (POSCAR):
```
CsKFe
1.0
0.000 4.329 4.329
4.329 0.000 4.329
4.329 4.329 0.000
Cs K Fe
1 1 1
Cartesian
0.000 0.000 0.000
4.329 4.329 4.329
2.164 2.164 2.164
```

## Properties
Distance to the lowest polymorph of the same formula: 0.000 eV per atom
Space-group type: F-43m, No. 216
V: 162.2 Å³/cell
M_tot: 2.34 μB/f.u.

***

Uncorrected energy values, unit eV per cell, following the record order: -36.648 -56.686 -14.331 -7.157.